# AgGeTe4 | the Alexandria database | PBE | relaxed
# Crystal system = monoclinic
# Total DFT energy (no corrections) = -3.31 eV per atom
# Formation energy without anion corrections = 0.026 eV per atom
data_AgGeTe4
_chemical_formula_sum 'Ag2 Ge2 Te8'
_cell_length_a 4.581
_cell_length_b 7.920
_cell_length_c 10.320
_cell_angle_alpha 90.00
_cell_angle_beta 91.68
_cell_angle_gamma 90.00
_space_group_name_H-M_alt 'P 1 21/m 1'
_space_group_IT_number 11
loop_
_space_group_symop_operation_xyz
'x,y,z'
'-x,-y,-z'
'-x,y+1/2,-z'
'x,-y+1/2,z'
loop_
_atom_site_label
_atom_site_type_symbol
_atom_site_fract_x
_atom_site_fract_y
_atom_site_fract_z
Ag1 Ag 0.000 0.000 0.000
Ge1 Ge 0.197 0.250 0.366
Te1 Te 0.159 0.750 0.418
Te2 Te 0.166 0.504 0.740
Te3 Te 0.443 0.750 0.953